DFT (GGA-PBEsol) results for MgCuSe2N after structural relaxation.

Output
Calculated density (kg/m³): 4454
Energy relative to the elements, uncorrected (eV per atom): 0.945
N(E_F) (states/eV per cell): 4.683

Cell lengths 3.8605, 5.0086, 5.0086 Å; angles 90.00, 90.00, 90.00 degrees
Each line ends with the local moment (μB).
Fractional coordinates of all 5 atoms:
Mg: 0.0000 0.0000 0.0000  0.01
N: 0.5000 0.0000 0.0000  1.19
Cu: 0.5000 0.5000 0.5000  0.03
Se: 0.0000 0.0000 0.5000  0.17
Se: 0.0000 0.5000 0.0000  0.17

DFT (GGA-PBEsol) results for Na2MgCu2 after structural relaxation.

Output
Calculated density (kg/m³): 3334
ΔH_f (0 K) (eV per atom): 0.392
N(E_F) (states/eV per cell): 1.668

Cell lengths 3.8732, 3.8732, 7.1019 Å; angles 105.82, 105.82, 90.00 degrees
Fractional coordinates of all 5 atoms:
Na: 0.2500 0.7500 0.5000
Na: 0.7500 0.2500 0.5000
Mg: 0.0000 0.0000 0.0000
Cu: 0.5865 0.5865 0.1730
Cu: 0.4135 0.4135 0.8270

DFT (GGA-PBEsol) results for Mg2Nb2CuO8 after structural relaxation.

Output
Calculated density (kg/m³): 4910
Energy relative to the elements, uncorrected (eV per atom): -2.272
N(E_F) (states/eV per cell): 3.642

Cell lengths 5.1115, 5.9905, 9.8755 Å; angles 107.66, 90.69, 90.00 degrees
Each line ends with the local moment (μB).
Fractional coordinates of all 26 atoms:
O: 0.9383 0.5735 0.8873  0.10
O: 0.5759 0.1843 0.1398  0.03
O: 0.5487 0.9132 0.6252  0.01
O: 0.0759 0.9555 0.1398  0.03
O: 0.1201 0.1658 0.6196  0.01
O: 0.8799 0.8342 0.3804  0.01
O: 0.4241 0.8157 0.8602  0.03
O: 0.9241 0.0445 0.8602  0.03
O: 0.5617 0.6862 0.1127  0.10
O: 0.4513 0.0868 0.3748  0.01
O: 0.0487 0.7119 0.6252  0.01
O: 0.4383 0.3138 0.8873  0.10
O: 0.6201 0.4539 0.6196  0.01
O: 0.9513 0.2881 0.3748  0.01
O: 0.0617 0.4265 0.1127  0.10
O: 0.3799 0.5461 0.3804  0.01
Mg: 0.2465 0.8701 0.4580  0.00
Mg: 0.7465 0.5879 0.4580  0.00
Mg: 0.2535 0.4121 0.5420  0.00
Mg: 0.7535 0.1299 0.5420  0.00
Cu: 0.7500 0.3505 0.0000  0.61
Cu: 0.2500 0.6495 0.0000  0.61
Nb: 0.7378 0.9478 0.2287  0.03
Nb: 0.2378 0.2809 0.2287  0.03
Nb: 0.2622 0.0522 0.7713  0.03
Nb: 0.7622 0.7191 0.7713  0.03

DFT (GGA-PBEsol) results for Mg2CuNi after structural relaxation.

Output
Calculated density (kg/m³): 4989
ΔH_f (0 K) (eV per atom): -0.078
N(E_F) (states/eV per cell): 1.968

Cell lengths 3.0289, 3.0256, 6.2056 Å; angles 90.00, 90.00, 90.00 degrees
Fractional coordinates of all 4 atoms:
Mg: 0.0000 0.0000 0.7588
Mg: 0.0000 0.0000 0.2412
Ni: 0.5000 0.5000 0.0000
Cu: 0.5000 0.5000 0.5000

DFT (GGA-PBEsol) results for MgCuNi2 after structural relaxation.

Output
Calculated density (kg/m³): 7200
ΔH_f (0 K) (eV per atom): -0.043
N(E_F) (states/eV per cell): 3.049

Cell lengths 3.6758, 3.6758, 4.3621 Å; angles 114.92, 114.92, 90.00 degrees
Fractional coordinates of all 4 atoms:
Ni: 0.2500 0.7500 0.5000
Ni: 0.7500 0.2500 0.5000
Mg: 0.0000 0.0000 0.0000
Cu: 0.5000 0.5000 0.0000

DFT (GGA-PBEsol) results for MgCuNi6 after structural relaxation.

Output
Calculated density (kg/m³): 8322
ΔH_f (0 K) (eV per atom): 0.005
N(E_F) (states/eV per cell): 35.692

Cell lengths 6.1116, 6.1116, 9.9854 Å; angles 90.00, 90.00, 109.68 degrees
Each line ends with the local moment (μB).
Fractional coordinates of all 32 atoms:
Cu: 0.2550 0.7450 0.5000  0.03
Cu: 0.0000 0.0000 0.2525  0.04
Cu: 0.7450 0.2550 0.5000  0.03
Cu: 0.0000 0.0000 0.7475  0.04
Ni: 0.2474 0.7526 0.2557  0.45
Ni: 0.7526 0.2474 0.2557  0.45
Ni: 0.0000 0.0000 0.5000  0.53
Ni: 0.5000 0.5000 0.5000  0.45
Ni: 0.3711 0.1181 0.6220  0.47
Ni: 0.6289 0.8819 0.3780  0.47
Ni: 0.2474 0.7526 0.7443  0.45
Ni: 0.5000 0.5000 0.0000  0.35
Ni: 0.1197 0.3664 0.1284  0.41
Ni: 0.1197 0.3664 0.8716  0.41
Ni: 0.6336 0.8803 0.8716  0.41
Ni: 0.0000 0.0000 0.0000  0.45
Ni: 0.8803 0.6336 0.1284  0.41
Ni: 0.8819 0.6289 0.6220  0.47
Ni: 0.6336 0.8803 0.1284  0.41
Ni: 0.3664 0.1197 0.8716  0.41
Ni: 0.1181 0.3711 0.6220  0.47
Ni: 0.1181 0.3711 0.3780  0.47
Ni: 0.3664 0.1197 0.1284  0.41
Ni: 0.6289 0.8819 0.6220  0.47
Ni: 0.8803 0.6336 0.8716  0.41
Ni: 0.8819 0.6289 0.3780  0.47
Ni: 0.7526 0.2474 0.7443  0.45
Ni: 0.3711 0.1181 0.3780  0.47
Mg: 0.7454 0.2546 0.0000  -0.01
Mg: 0.5000 0.5000 0.7491  -0.01
Mg: 0.5000 0.5000 0.2509  -0.01
Mg: 0.2546 0.7454 0.0000  -0.01

DFT (GGA-PBEsol) results for MgCu2Ni after structural relaxation.

Output
Calculated density (kg/m³): 7027
ΔH_f (0 K) (eV per atom): 0.000
N(E_F) (states/eV per cell): 1.545

Cell lengths 2.6665, 3.4985, 5.9532 Å; angles 90.00, 116.62, 90.00 degrees
Fractional coordinates of all 4 atoms:
Ni: 0.0000 0.5000 0.5000
Cu: 0.7252 0.0000 0.7258
Cu: 0.2748 0.0000 0.2742
Mg: 0.5000 0.5000 0.0000

DFT (GGA-PBEsol) results for Mg2CuNi after structural relaxation.

Output
Calculated density (kg/m³): 5006
ΔH_f (0 K) (eV per atom): -0.030
N(E_F) (states/eV per cell): 1.802

Cell lengths 3.7502, 3.7502, 4.8238 Å; angles 112.87, 112.87, 90.00 degrees
Fractional coordinates of all 4 atoms:
Mg: 0.0000 0.0000 0.0000
Mg: 0.7500 0.2500 0.5000
Ni: 0.5000 0.5000 0.0000
Cu: 0.2500 0.7500 0.5000

DFT (GGA-PBEsol) results for Mg2CuNi after structural relaxation.

Output
Calculated density (kg/m³): 4912
ΔH_f (0 K) (eV per atom): -0.058
N(E_F) (states/eV per cell): 1.910

Cell lengths 3.0148, 4.3003, 5.1713 Å; angles 114.57, 106.95, 90.00 degrees
Fractional coordinates of all 4 atoms:
Mg: 0.7698 0.2698 0.5396
Mg: 0.9861 0.9861 0.9723
Ni: 0.5158 0.5158 0.0316
Cu: 0.2282 0.7282 0.4565

DFT (GGA-PBEsol) results for MgCu2Ni after structural relaxation.

Output
Calculated density (kg/m³): 7131
ΔH_f (0 K) (eV per atom): -0.019
N(E_F) (states/eV per cell): 2.007

Cell lengths 4.1053, 4.1053, 4.1053 Å; angles 60.00, 60.00, 60.00 degrees
Fractional coordinates of all 4 atoms:
Cu: 0.0000 0.0000 0.0000
Cu: 0.7500 0.7500 0.7500
Mg: 0.5000 0.5000 0.5000
Ni: 0.2500 0.2500 0.2500

DFT (GGA-PBEsol) results for MgCu2Ni after structural relaxation.

Output
Calculated density (kg/m³): 7081
ΔH_f (0 K) (eV per atom): -0.021
N(E_F) (states/eV per cell): 1.330

Cell lengths 2.6830, 3.4726, 5.2877 Å; angles 90.00, 90.00, 90.00 degrees
Fractional coordinates of all 4 atoms:
Cu: 0.0000 0.0000 0.9982
Cu: 0.5000 0.5000 0.2280
Mg: 0.0000 0.0000 0.5071
Ni: 0.5000 0.5000 0.7667

DFT (GGA-PBEsol) results for MgCuNi after structural relaxation.

Output
Calculated density (kg/m³): 6275
ΔH_f (0 K) (eV per atom): 0.143
N(E_F) (states/eV per cell): 1.991

Cell lengths 2.6931, 2.6931, 6.1742 Å; angles 90.00, 90.00, 120.00 degrees
Fractional coordinates of all 3 atoms:
Ni: 0.6667 0.3333 0.3269
Cu: 0.0000 0.0000 0.0148
Mg: 0.3333 0.6667 0.6583

DFT (GGA-PBEsol) results for MgCu2Ni after structural relaxation.

Output
Calculated density (kg/m³): 7155
ΔH_f (0 K) (eV per atom): -0.054
N(E_F) (states/eV per cell): 1.295

Cell lengths 3.6764, 3.6764, 4.4466 Å; angles 114.42, 114.42, 90.00 degrees
Fractional coordinates of all 4 atoms:
Cu: 0.7500 0.2500 0.5000
Cu: 0.5000 0.5000 0.0000
Mg: 0.0000 0.0000 0.0000
Ni: 0.2500 0.7500 0.5000

DFT (GGA-PBEsol) results for MgCu2Ni after structural relaxation.

Output
Calculated density (kg/m³): 7129
ΔH_f (0 K) (eV per atom): -0.034
N(E_F) (states/eV per cell): 1.618

Cell lengths 3.6582, 3.6582, 4.4791 Å; angles 114.10, 114.10, 90.00 degrees
Fractional coordinates of all 4 atoms:
Mg: 0.5000 0.5000 0.0000
Cu: 0.2500 0.7500 0.5000
Cu: 0.7500 0.2500 0.5000
Ni: 0.0000 0.0000 0.0000

DFT (GGA-PBEsol) results for Mg2CuNi after structural relaxation.

Output
Calculated density (kg/m³): 4999
ΔH_f (0 K) (eV per atom): -0.075
N(E_F) (states/eV per cell): 1.872

Cell lengths 2.9934, 4.3541, 4.3541 Å; angles 90.02, 90.00, 90.00 degrees
Fractional coordinates of all 4 atoms:
Ni: 0.5000 0.0000 0.0000
Mg: 0.0000 0.0000 0.5000
Mg: 0.0000 0.5000 0.0000
Cu: 0.5000 0.5000 0.5000

DFT (GGA-PBEsol) results for MgCuNi4 after structural relaxation.

Output
Calculated density (kg/m³): 7595
ΔH_f (0 K) (eV per atom): -0.036
N(E_F) (states/eV per cell): 4.963

Cell lengths 4.6377, 4.6377, 4.6377 Å; angles 60.00, 60.00, 60.00 degrees
Fractional coordinates of all 6 atoms:
Ni: 0.6247 0.6247 0.6247
Ni: 0.1260 0.6247 0.6247
Ni: 0.6247 0.1260 0.6247
Ni: 0.6247 0.6247 0.1260
Cu: 0.2500 0.2500 0.2500
Mg: 0.0000 0.0000 0.0000

DFT (GGA-PBEsol) results for Mg2CuNi after structural relaxation.

Output
Calculated density (kg/m³): 4904
ΔH_f (0 K) (eV per atom): -0.063
N(E_F) (states/eV per cell): 1.797

Cell lengths 2.8631, 4.4676, 4.9884 Å; angles 108.03, 106.68, 90.00 degrees
Fractional coordinates of all 4 atoms:
Cu: 0.2256 0.7670 0.4512
Mg: 0.9829 0.9533 0.9657
Mg: 0.7720 0.3040 0.5440
Ni: 0.5196 0.4757 0.0391

DFT (GGA-PBEsol) results for Mg30CuNiO32 after structural relaxation.

Output
Calculated density (kg/m³): 3784
Energy relative to the elements, uncorrected (eV per atom): -2.604
N(E_F) (states/eV per cell): 4.643

Cell lengths 8.4266, 8.4266, 8.4253 Å; angles 90.00, 90.00, 90.00 degrees
Each line ends with the local moment (μB).
Fractional coordinates of all 64 atoms:
O: 0.5000 0.5000 0.7497  0.00
O: 0.5000 0.7501 0.0000  0.00
O: 0.7506 0.7506 0.2501  0.00
O: 0.5000 0.2494 0.5000  0.00
O: 0.7506 0.5000 0.5000  0.00
O: 0.2494 0.2494 0.7499  0.00
O: 0.2494 0.7506 0.7499  0.00
O: 0.2494 0.2494 0.2501  0.00
O: 0.0000 0.0000 0.7383  0.01
O: 0.5000 0.0000 0.2507  0.00
O: 0.7476 0.0000 0.0000  0.02
O: 0.7501 0.5000 0.0000  0.00
O: 0.2494 0.7506 0.2501  0.00
O: 0.2493 0.0000 0.5000  0.06
O: 0.0000 0.5000 0.7493  0.00
O: 0.7506 0.2494 0.7499  0.00
O: 0.0000 0.2524 0.0000  0.02
O: 0.0000 0.5000 0.2507  0.00
O: 0.0000 0.2493 0.5000  0.06
O: 0.7507 0.0000 0.5000  0.06
O: 0.2494 0.5000 0.5000  0.00
O: 0.5000 0.0000 0.7493  0.00
O: 0.0000 0.7476 0.0000  0.02
O: 0.7506 0.2494 0.2501  0.00
O: 0.5000 0.2499 0.0000  0.00
O: 0.0000 0.0000 0.2617  0.01
O: 0.5000 0.5000 0.2503  0.00
O: 0.0000 0.7507 0.5000  0.06
O: 0.7506 0.7506 0.7499  0.00
O: 0.5000 0.7506 0.5000  0.00
O: 0.2524 0.0000 0.0000  0.02
O: 0.2499 0.5000 0.0000  0.00
Mg: 0.5000 0.7503 0.7502  0.00
Mg: 0.0000 0.2482 0.7500  0.00
Mg: 0.0000 0.7518 0.7500  0.00
Mg: 0.2497 0.5000 0.7502  0.00
Mg: 0.0000 0.5000 0.5000  0.01
Mg: 0.5000 0.5000 0.0000  0.00
Mg: 0.0000 0.2482 0.2500  0.00
Mg: 0.2489 0.7511 0.5000  0.00
Mg: 0.7511 0.7511 0.5000  0.00
Mg: 0.5000 0.2497 0.2498  0.00
Mg: 0.2489 0.2489 0.5000  0.00
Mg: 0.2488 0.7512 0.0000  0.00
Mg: 0.7518 0.0000 0.2500  0.00
Mg: 0.7512 0.2488 0.0000  0.00
Mg: 0.2497 0.5000 0.2498  0.00
Mg: 0.5000 0.7503 0.2498  0.00
Mg: 0.5000 0.0000 0.5000  0.01
Mg: 0.2488 0.2488 0.0000  0.00
Mg: 0.5000 0.2497 0.7502  0.00
Mg: 0.7512 0.7512 0.0000  0.00
Mg: 0.2482 0.0000 0.7500  0.00
Mg: 0.5000 0.0000 0.0000  0.00
Mg: 0.0000 0.5000 0.0000  0.00
Mg: 0.5000 0.5000 0.5000  0.00
Mg: 0.7511 0.2489 0.5000  0.00
Mg: 0.0000 0.7518 0.2500  0.00
Mg: 0.7503 0.5000 0.7502  0.00
Mg: 0.2482 0.0000 0.2500  0.00
Mg: 0.7518 0.0000 0.7500  0.00
Mg: 0.7503 0.5000 0.2498  0.00
Ni: 0.0000 0.0000 0.5000  1.19
Cu: 0.0000 0.0000 0.0000  0.15

DFT (GGA-PBEsol) results for MgCuNi2Rh after structural relaxation.

Output
Calculated density (kg/m³): 7055
ΔH_f (0 K) (eV per atom): 1.384
N(E_F) (states/eV per cell): 7.728

Cell lengths 4.1489, 4.1489, 4.2135 Å; angles 90.00, 90.00, 90.00 degrees
Each line ends with the local moment (μB).
Fractional coordinates of all 5 atoms:
Mg: 0.0000 0.0000 0.0000  -0.01
Ni: 0.5000 0.0000 0.0000  0.27
Ni: 0.0000 0.5000 0.0000  0.27
Rh: 0.5000 0.5000 0.5000  0.32
Cu: 0.0000 0.0000 0.5000  0.01

DFT (GGA-PBEsol) results for MgCu3NiSe4 after structural relaxation.

Output
Calculated density (kg/m³): 5539
Energy relative to the elements, uncorrected (eV per atom): -0.266
N(E_F) (states/eV per cell): 7.559

Cell lengths 5.6117, 5.6117, 5.6117 Å; angles 90.00, 90.00, 90.00 degrees
Each line ends with the local moment (μB).
Fractional coordinates of all 9 atoms:
Cu: 0.5000 0.0000 0.0000  0.01
Cu: 0.0000 0.5000 0.0000  0.01
Cu: 0.0000 0.0000 0.5000  0.01
Se: 0.7596 0.2404 0.7596  0.01
Se: 0.2404 0.7596 0.7596  0.01
Se: 0.7596 0.7596 0.2404  0.01
Se: 0.2404 0.2404 0.2404  0.01
Ni: 0.0000 0.0000 0.0000  0.17
Mg: 0.5000 0.5000 0.5000  0.00

DFT (GGA-PBEsol) results for Mg4CuO5 after structural relaxation.

Output
Calculated density (kg/m³): 4283
Relative energy among the computed polymorphs (eV per atom): 0.0171
Energy relative to the elements, uncorrected (eV per atom): -2.261
N(E_F) (states/eV per cell): 3.877

Cell lengths 2.9884, 4.1949, 7.8791 Å; angles 105.44, 100.93, 90.00 degrees
Each line ends with the local moment (μB).
Fractional coordinates of all 10 atoms:
O: 0.1997 0.6997 0.3994  0.01
O: 0.6016 0.1016 0.2031  0.10
O: 0.3984 0.8984 0.7969  0.10
O: 0.8003 0.3003 0.6006  0.01
O: 0.0000 0.5000 0.0000  0.08
Mg: 0.4012 0.4012 0.8024  0.00
Mg: 0.2004 0.2004 0.4008  0.00
Mg: 0.7996 0.7996 0.5992  0.00
Mg: 0.5988 0.5988 0.1976  0.00
Cu: 0.0000 0.0000 0.0000  0.51

DFT (GGA-PBEsol) results for MgCu3O4 after structural relaxation.

Output
Calculated density (kg/m³): 5909
Energy relative to the elements, uncorrected (eV per atom): -1.064
N(E_F) (states/eV per cell): 9.498

Cell lengths 3.1779, 3.9890, 18.5524 Å; angles 90.00, 90.00, 90.00 degrees
Fractional coordinates of all 24 atoms:
Cu: 0.1607 0.0000 0.5821
Cu: 0.8188 0.5000 0.1667
Cu: 0.1871 0.0000 0.0822
Cu: 0.1871 0.0000 0.9178
Cu: 0.1607 0.0000 0.4179
Cu: 0.6585 0.5000 0.0000
Cu: 0.8253 0.5000 0.6684
Cu: 0.8253 0.5000 0.3316
Cu: 0.8188 0.5000 0.8333
O: 0.8838 0.0000 0.8286
O: 0.1140 0.5000 0.5774
O: 0.5125 0.0000 0.5000
O: 0.1140 0.5000 0.4226
O: 0.8718 0.0000 0.6729
O: 0.1413 0.5000 0.0793
O: 0.5308 0.0000 0.0000
O: 0.1413 0.5000 0.9207
O: 0.4699 0.5000 0.7501
O: 0.8838 0.0000 0.1714
O: 0.4699 0.5000 0.2499
O: 0.8718 0.0000 0.3271
Mg: 0.6222 0.5000 0.5000
Mg: 0.3653 0.0000 0.2497
Mg: 0.3653 0.0000 0.7503